Entry 1:
# Mo4Os3Ru

Crystalline Mo4Os3Ru at its relaxed geometry (GGA-PBE, Alexandria via LeMat-Bulk).

## Properties
The total magnetization is 0.000 μB per atom. As for the density of states at the Fermi level: 17.86 states/eV per cell. Its formation energy is 0.5 eV/f.u.

Cell lengths 8.705, 3.936, 7.878 Å; angles 90.00, 116.88, 90.00 degrees
Space group C2/m (No. 12)
Unique sites:
Mo 0.249 0.000 0.125 x4
Mo 0.249 0.500 0.375 x4
Os 0.000 0.500 0.500 x2
Os 0.001 0.000 0.750 x4
Ru 0.000 0.500 0.000 x2

***

Entry 2:
# MoOs2Ru

Crystalline MoOs2Ru at its relaxed geometry (GGA-PBE, Alexandria via LeMat-Bulk).

## Properties
The total magnetization is 0.000 μB per atom. As for the density of states at the Fermi level: 2.96 states/eV per cell. Its formation energy is 0.2 eV/f.u. The value obtained for the excess energy over the best structure of this formula in the dataset is 0.065 eV per atom.

Cell lengths 4.740, 2.740, 4.757 Å; angles 90.00, 109.32, 90.00 degrees
Space group P2/m (No. 10)
Unique sites:
Mo 0.000 0.000 0.000 x1
Os 0.000 0.500 0.500 x1
Os 0.500 0.000 0.500 x1
Ru 0.500 0.500 0.000 x1

***

Entry 3:
# MoOsRu3

Crystalline MoOsRu3 at its relaxed geometry (GGA-PBE, Alexandria via LeMat-Bulk).

## Properties
The total magnetization is 0.000 μB per atom. As for the density of states at the Fermi level: 8.75 states/eV per cell. Its formation energy is -0.1 eV/f.u. The value obtained for the excess energy over the best structure of this formula in the dataset is 0.000 eV per atom.

Cell lengths 4.773, 5.157, 7.027 Å; angles 108.36, 90.04, 117.55 degrees
Space group P1 (No. 1)
Unique sites:
Mo 0.000 0.000 0.000 x1
Mo 0.204 0.401 0.408 x1
Os 0.396 0.794 0.805 x1
Os 0.733 0.799 0.305 x1
Ru 0.134 0.603 0.106 x1
Ru 0.333 0.999 0.504 x1
Ru 0.530 0.399 0.906 x1
Ru 0.599 0.199 0.204 x1
Ru 0.802 0.604 0.604 x1
Ru 0.930 0.200 0.705 x1

***

Entry 4:
# Mo2OsRu

Crystalline Mo2OsRu at its relaxed geometry (GGA-PBE, Alexandria via LeMat-Bulk).

## Properties
The total magnetization is 0.000 μB per atom. As for the density of states at the Fermi level: 12.18 states/eV per cell. Its formation energy is 0.7 eV/f.u. The value obtained for the excess energy over the best structure of this formula in the dataset is 0.133 eV per atom.

Cell lengths 2.7552, 2.7552, 27.5657 Å; angles 90.00, 90.00, 120.00 degrees
Space group R3m (No. 160, hexagonal axes)
Unique sites:
Mo 0.0000 0.0000 0.0000 x3
Mo 0.0000 0.0000 0.2430 x3
Os 0.0000 0.0000 0.4967 x3
Ru 0.0000 0.0000 0.7457 x3

***

Entry 5:
# MoOs2Ru4

Crystalline MoOs2Ru4 at its relaxed geometry (GGA-PBE, Alexandria via LeMat-Bulk).

## Properties
The total magnetization is 0.000 μB per atom. As for the density of states at the Fermi level: 14.34 states/eV per cell. Its formation energy is 1.8 eV/f.u.

Cell lengths 5.263, 8.116, 5.043 Å; angles 90.00, 102.67, 90.00 degrees
Space group Cm (No. 8)
Unique sites:
Mo 0.000 0.000 0.000 x2
Os 0.132 0.263 0.694 x4
Ru 0.322 0.500 0.453 x2
Ru 0.325 0.000 0.524 x2
Ru 0.461 0.187 0.144 x4

***

Entry 6:
# Mo2OsRu

Crystalline Mo2OsRu at its relaxed geometry (GGA-PBE, Alexandria via LeMat-Bulk).

## Properties
The total magnetization is 0.000 μB per atom. As for the density of states at the Fermi level: 10.63 states/eV per cell. Its formation energy is 0.5 eV/f.u. The value obtained for the excess energy over the best structure of this formula in the dataset is 0.069 eV per atom.

Cell lengths 2.7535, 2.7535, 27.3434 Å; angles 90.00, 90.00, 120.00 degrees
Space group R-3m (No. 166, hexagonal axes)
Unique sites:
Mo 0.0000 0.0000 0.2502 x6
Os 0.0000 0.0000 0.5000 x3
Ru 0.0000 0.0000 0.0000 x3

***

Entry 7:
# MoOs2Ru

Crystalline MoOs2Ru at its relaxed geometry (GGA-PBE, Alexandria via LeMat-Bulk).

## Properties
The total magnetization is 0.000 μB per atom. As for the density of states at the Fermi level: 6.68 states/eV per cell. Its formation energy is 0.2 eV/f.u. The value obtained for the excess energy over the best structure of this formula in the dataset is 0.056 eV per atom.

Cell lengths 3.865, 3.865, 7.814 Å; angles 90.00, 90.00, 90.00 degrees
Space group I4/mmm (No. 139)
Unique sites:
Mo 0.000 0.000 0.000 x2
Os 0.000 0.500 0.250 x4
Ru 0.000 0.000 0.500 x2

***

Entry 8:
# MoOsRu2

Crystalline MoOsRu2 at its relaxed geometry (GGA-PBE, Alexandria via LeMat-Bulk).

## Properties
The total magnetization is 0.000 μB per atom. As for the density of states at the Fermi level: 20.54 states/eV per cell. Its formation energy is 2.8 eV/f.u. The value obtained for the excess energy over the best structure of this formula in the dataset is 0.729 eV per atom.

Cell lengths 3.796, 3.796, 17.653 Å; angles 90.00, 90.00, 90.00 degrees
Space group I-42d (No. 122)
Unique sites:
Mo 0.000 0.000 0.000 x4
Os 0.000 0.000 0.500 x4
Ru 0.243 0.250 0.625 x8